BaCa4Pr: relaxed, PBE-GGA.

Results
Symmetry ... F-43m, No. 216

a = 7.3038 Å, b = 7.3038 Å, c = 7.3038 Å
α = 60.00°, β = 60.00°, γ = 60.00°
Atoms (fractional coordinates):
Pr  0.0000  0.0000  0.0000
Ca  0.6260  0.6260  0.1219
Ca  0.6260  0.1219  0.6260
Ca  0.6260  0.6260  0.6260
Ca  0.1219  0.6260  0.6260
Ba  0.2500  0.2500  0.2500

***

BaCa2Pr: relaxed, PBE-GGA.

Results
Symmetry ... P4/mmm, No. 123

a = 4.3499 Å, b = 6.3485 Å, c = 6.3485 Å
α = 90.00°, β = 90.00°, γ = 90.00°
Atoms (fractional coordinates):
Pr  0.5000  0.5000  0.5000
Ca  0.0000  0.0000  0.5000
Ca  0.0000  0.5000  0.0000
Ba  0.5000  0.0000  0.0000

***

Ba2CaPr: relaxed, PBE-GGA.

Results
Symmetry ... P4/mmm, No. 123

a = 4.0476 Å, b = 4.0476 Å, c = 11.8822 Å
α = 90.00°, β = 90.00°, γ = 90.00°
Atoms (fractional coordinates):
Pr  0.5000  0.5000  0.0000
Ca  0.5000  0.5000  0.5000
Ba  0.0000  0.0000  0.7601
Ba  0.0000  0.0000  0.2399

***

BaCaPr2: relaxed, PBE-GGA.

Results
Symmetry ... P4/mmm, No. 123

a = 4.2032 Å, b = 4.2032 Å, c = 9.6339 Å
α = 90.00°, β = 90.00°, γ = 90.00°
Atoms (fractional coordinates):
Pr  0.0000  0.0000  0.7903
Pr  0.0000  0.0000  0.2097
Ca  0.5000  0.5000  0.0000
Ba  0.5000  0.5000  0.5000

***

no.,electronic total energy (eV for the cell shown)
1,-13.668
2,-10.252
3,-10.100
4,-12.822